Here is an optimized crystal structure of PmThP2Rh5 from Alexandria. Energies are from PBE-GGA.

Lattice parameters (Å, degrees): 4.083 4.083 10.770 90.00 90.00 90.00
Sites, in units of the cell vectors:
Pm1 0.000 0.000 0.000
Th1 0.000 0.000 0.500
P1 0.500 0.500 0.288
P2 0.500 0.500 0.712
Rh1 0.000 0.500 0.202
Rh2 0.000 0.500 0.798
Rh3 0.500 0.000 0.202
Rh4 0.500 0.000 0.798
Rh5 0.500 0.500 0.500

Volume = 179.5 Å³ per cell
Total magnetic moment = 0.00 μB per cell
DFT formation energy = -0.78 eV/atom
Energy = -66.7 eV/cell